a | Entry from the Alexandria database: a relaxed structure of La2YAu (PBEsol).

Lattice parameters (Å, degrees): 3.760 3.760 10.268 79.45 79.45 60.00
Fractional coordinates of all 4 atoms:
Au: 0.000 0.000 0.000
La: 0.262 0.262 0.214
La: 0.738 0.738 0.786
Y: 0.500 0.500 0.500

Total magnetic moment   0.000 μB per formula unit
Symmetry   R-3m


b | Entry from the Alexandria database: a relaxed structure of La2YAu (PBEsol).

Lattice parameters (Å, degrees): 4.575 4.575 6.019 112.33 112.33 90.00
Fractional coordinates of all 4 atoms:
Au: 0.000 0.000 0.000
La: 0.750 0.250 0.500
La: 0.250 0.750 0.500
Y: 0.500 0.500 0.000

Total magnetic moment   0.000 μB per formula unit
Symmetry   I4/mmm


Energies relative to the minimum, meV per atom: a 28; b 0


a | Entry from the Alexandria database: a relaxed structure of Li5Au (PBEsol).

Lattice parameters (Å, degrees): 4.097 4.829 5.654 105.22 90.00 115.10
Fractional coordinates of all 6 atoms:
Au: 0.000 0.000 0.000
Li: 0.650 0.300 0.302
Li: 0.350 0.700 0.698
Li: 0.328 0.657 0.155
Li: 0.000 0.000 0.500
Li: 0.672 0.343 0.845

Total magnetic moment   0.000 μB per formula unit
Symmetry   C2/m


b | Entry from the Alexandria database: a relaxed structure of Li5Au (PBEsol).

Lattice parameters (Å, degrees): 3.238 3.238 9.928 90.00 90.00 90.00
Fractional coordinates of all 6 atoms:
Au: 0.500 0.500 0.000
Li: 0.000 0.000 0.867
Li: 0.000 0.000 0.133
Li: 0.500 0.500 0.697
Li: 0.500 0.500 0.303
Li: 0.000 0.000 0.500

Total magnetic moment   0.000 μB per formula unit
Symmetry   P4/mmm


Energies relative to the minimum, meV per atom: a 0; b 40


a | Entry from the Alexandria database: a relaxed structure of Li3Au2 (PBEsol).

Lattice parameters (Å, degrees): 4.379 4.379 5.253 90.00 90.00 120.00
Fractional coordinates of all 5 atoms:
Au: 0.333 0.667 0.864
Au: 0.667 0.333 0.136
Li: 0.000 0.000 0.000
Li: 0.333 0.667 0.363
Li: 0.667 0.333 0.637

Total magnetic moment   0.000 μB per formula unit
Symmetry   P-3m1


b | Entry from the Alexandria database: a relaxed structure of Li3Au2 (PBEsol).

Lattice parameters (Å, degrees): 4.889 5.246 7.285 87.14 109.43 61.74
Fractional coordinates of all 10 atoms:
Au: 0.506 0.488 0.897
Au: 0.096 0.510 0.102
Au: 0.944 0.012 0.603
Au: 0.354 0.990 0.398
Li: 0.540 0.992 0.791
Li: 0.741 0.008 0.210
Li: 0.910 0.508 0.709
Li: 0.709 0.491 0.290
Li: 0.123 0.998 0.001
Li: 0.327 0.502 0.499

Total magnetic moment   0.000 μB per formula unit
Symmetry   P-1


Energies relative to the minimum, meV per atom: a 83; b 0


a | Entry from the Alexandria database: a relaxed structure of LiMgAu (PBEsol).

Lattice parameters (Å, degrees): 3.359 3.359 4.982 109.70 109.70 90.00
Fractional coordinates of all 3 atoms:
Mg: 0.661 0.661 0.322
Au: 0.993 0.993 0.985
Li: 0.346 0.346 0.693

Total magnetic moment   0.000 μB per formula unit
Symmetry   I4mm


b | Entry from the Alexandria database: a relaxed structure of LiMgAu (PBEsol).

Lattice parameters (Å, degrees): 4.502 4.502 5.644 90.00 90.00 120.00
Fractional coordinates of all 6 atoms:
Mg: 0.667 0.333 0.489
Mg: 0.000 0.000 0.161
Au: 0.333 0.667 0.344
Au: 0.667 0.333 0.976
Li: 0.333 0.667 0.842
Li: 0.000 0.000 0.675

Total magnetic moment   0.000 μB per formula unit
Symmetry   P3m1


Energies relative to the minimum, meV per atom: a 37; b 0


a | Entry from the Alexandria database: a relaxed structure of LiMn2Au (PBEsol).

Lattice parameters (Å, degrees): 2.787 2.787 9.234 81.32 81.32 60.00
Last column: magnetic moment on the atom in μB.
Fractional coordinates of all 4 atoms:
Au: 0.500 0.500 0.500  0.06
Li: 0.000 0.000 0.000  -0.02
Mn: 0.250 0.250 0.251  3.51
Mn: 0.750 0.750 0.749  3.51

Total magnetic moment   7.303 μB per formula unit
Symmetry   R-3m


b | Entry from the Alexandria database: a relaxed structure of LiMn2Au (PBEsol).

Lattice parameters (Å, degrees): 4.371 4.371 4.371 60.00 60.00 60.00
Last column: magnetic moment on the atom in μB.
Fractional coordinates of all 4 atoms:
Mn: 0.250 0.250 0.250  3.80
Mn: 0.750 0.750 0.750  3.80
Au: 0.500 0.500 0.500  0.11
Li: 0.000 0.000 0.000  -0.01

Total magnetic moment   7.972 μB per formula unit
Symmetry   Fm-3m


Energies relative to the minimum, meV per atom: a 236; b 0


a | Entry from the Alexandria database: a relaxed structure of LiMo2Au (PBEsol).

Lattice parameters (Å, degrees): 3.426 3.426 5.103 90.00 90.00 90.00
Fractional coordinates of all 4 atoms:
Au: 0.500 0.500 0.000
Li: 0.500 0.500 0.500
Mo: 0.000 0.000 0.717
Mo: 0.000 0.000 0.283

Total magnetic moment   0.000 μB per formula unit
Symmetry   P4/mmm


b | Entry from the Alexandria database: a relaxed structure of LiMo2Au (PBEsol).

Lattice parameters (Å, degrees): 3.271 4.563 4.966 117.35 109.23 90.00
Fractional coordinates of all 4 atoms:
Au: 0.507 0.507 0.014
Li: 0.248 0.748 0.496
Mo: 0.015 0.015 0.029
Mo: 0.730 0.230 0.461

Total magnetic moment   0.000 μB per formula unit
Symmetry   Imm2


Energies relative to the minimum, meV per atom: a 145; b 0


a | Entry from the Alexandria database: a relaxed structure of LiMo3Au (PBEsol).

Lattice parameters (Å, degrees): 4.166 4.166 4.166 90.00 90.00 90.00
Fractional coordinates of all 5 atoms:
Mo: 0.000 0.500 0.000
Mo: 0.000 0.000 0.500
Mo: 0.500 0.000 0.000
Au: 0.500 0.500 0.500
Li: 0.000 0.000 0.000

Total magnetic moment   0.000 μB per formula unit
Symmetry   Pm-3m


b | Entry from the Alexandria database: a relaxed structure of LiMo3Au (PBEsol).

Lattice parameters (Å, degrees): 4.829 4.829 4.829 90.00 90.00 90.00
Fractional coordinates of all 5 atoms:
Mo: 0.000 0.500 0.000
Mo: 0.000 0.000 0.500
Mo: 0.500 0.000 0.000
Au: 0.000 0.000 0.000
Li: 0.500 0.500 0.500

Total magnetic moment   0.000 μB per formula unit
Symmetry   Pm-3m


Energies relative to the minimum, meV per atom: a 0; b 1132


a | Entry from the Alexandria database: a relaxed structure of NaLi2Au2 (PBEsol).

Lattice parameters (Å, degrees): 2.769 7.875 7.875 90.00 90.00 90.00
Fractional coordinates of all 10 atoms:
Na: 0.000 0.000 0.000
Na: 0.000 0.500 0.500
Au: 0.000 0.352 0.852
Au: 0.000 0.852 0.648
Au: 0.000 0.648 0.148
Au: 0.000 0.148 0.352
Li: 0.500 0.144 0.644
Li: 0.500 0.644 0.856
Li: 0.500 0.856 0.356
Li: 0.500 0.356 0.144

Total magnetic moment   0.000 μB per formula unit
Symmetry   P4/mbm


b | Entry from the Alexandria database: a relaxed structure of NaLi2Au2 (PBEsol).

Lattice parameters (Å, degrees): 4.023 4.023 6.643 107.62 107.62 90.00
Fractional coordinates of all 5 atoms:
Na: 0.000 0.000 0.000
Au: 0.388 0.388 0.776
Au: 0.612 0.612 0.224
Li: 0.250 0.750 0.500
Li: 0.750 0.250 0.500

Total magnetic moment   0.000 μB per formula unit
Symmetry   I4/mmm


Energies relative to the minimum, meV per atom: a 0; b 87


a | Entry from the Alexandria database: a relaxed structure of LiNiAu (PBEsol).

Lattice parameters (Å, degrees): 4.035 4.035 4.035 60.00 60.00 60.00
Fractional coordinates of all 3 atoms:
Au: 0.000 0.000 0.000
Li: 0.500 0.500 0.500
Ni: 0.250 0.250 0.250

Total magnetic moment   0.001 μB per formula unit
Symmetry   F-43m


b | Entry from the Alexandria database: a relaxed structure of LiNiAu (PBEsol).

Lattice parameters (Å, degrees): 2.705 2.705 6.449 90.00 90.00 120.00
Last column: magnetic moment on the atom in μB.
Fractional coordinates of all 3 atoms:
Au: 0.000 0.000 0.001  -0.01
Li: 0.333 0.667 0.654  0.00
Ni: 0.667 0.333 0.344  0.14

Total magnetic moment   0.110 μB per formula unit
Symmetry   P3m1


Energies relative to the minimum, meV per atom: a 180; b 0


a | Entry from the Alexandria database: a relaxed structure of LiOsAu2 (PBEsol).

Lattice parameters (Å, degrees): 2.681 4.778 4.778 90.00 90.00 90.00
Fractional coordinates of all 4 atoms:
Au: 0.000 0.000 0.500
Au: 0.000 0.500 0.000
Li: 0.500 0.500 0.500
Os: 0.500 0.000 0.000

Total magnetic moment   0.000 μB per formula unit
Symmetry   P4/mmm


b | Entry from the Alexandria database: a relaxed structure of LiOsAu2 (PBEsol).

Lattice parameters (Å, degrees): 4.081 4.622 4.081 63.80 90.00 116.20
Fractional coordinates of all 4 atoms:
Au: 0.250 0.500 0.250
Au: 0.750 0.500 0.750
Li: 0.500 0.000 0.500
Os: 0.000 0.000 0.000

Total magnetic moment   0.000 μB per formula unit
Symmetry   I4/mmm


Energies relative to the minimum, meV per atom: a 0; b 320


a | Entry from the Alexandria database: a relaxed structure of LiPb2Au (PBEsol).

Lattice parameters (Å, degrees): 3.762 4.405 5.724 90.00 109.28 90.00
Fractional coordinates of all 4 atoms:
Pb: 0.023 0.000 0.923
Pb: 0.723 0.500 0.319
Au: 0.308 0.000 0.491
Li: 0.445 0.500 0.767

Total magnetic moment   0.000 μB per formula unit
Symmetry   Pm


b | Entry from the Alexandria database: a relaxed structure of LiPb2Au (PBEsol).

Lattice parameters (Å, degrees): 3.425 3.425 7.603 90.00 90.00 90.00
Fractional coordinates of all 4 atoms:
Pb: 0.000 0.000 0.954
Pb: 0.500 0.500 0.295
Au: 0.000 0.000 0.551
Li: 0.500 0.500 0.700

Total magnetic moment   0.000 μB per formula unit
Symmetry   P4mm


Energies relative to the minimum, meV per atom: a 8; b 0


a | Entry from the Alexandria database: a relaxed structure of LiRe2Au (PBEsol).

Lattice parameters (Å, degrees): 3.636 3.636 5.039 111.15 111.15 90.00
Fractional coordinates of all 4 atoms:
Au: 0.500 0.500 0.000
Li: 0.000 0.000 0.000
Re: 0.750 0.250 0.500
Re: 0.250 0.750 0.500

Total magnetic moment   0.000 μB per formula unit
Symmetry   I4/mmm


b | Entry from the Alexandria database: a relaxed structure of LiRe2Au (PBEsol).

Lattice parameters (Å, degrees): 4.336 4.336 4.336 60.00 60.00 60.00
Fractional coordinates of all 4 atoms:
Au: 0.500 0.500 0.500
Li: 0.250 0.250 0.250
Re: 0.000 0.000 0.000
Re: 0.750 0.750 0.750

Total magnetic moment   0.001 μB per formula unit
Symmetry   F-43m


Energies relative to the minimum, meV per atom: a 0; b 28